1.
First-principles (PBE-GGA) data for an optimized crystal structure of Ti3CoBi, as listed in the Alexandria database.

Crystal system: monoclinic
Formation energy (eV per atom): -0.202
Energy above the lowest structure with this stoichiometry (meV/atom): 0
Calculated total energy (eV per atom): -7.137

Cell and atoms, written as POSCAR:
```
Ti3CoBi
1.0
7.131 0.000 0.000
0.000 3.777 0.000
-2.922 0.000 6.720
Ti Co Bi
6 2 2
Cartesian
-0.562 0.944 1.315
0.328 2.833 4.084
-0.340 0.944 6.269
4.550 2.833 0.450
3.881 0.944 2.636
4.772 2.833 5.405
-1.201 0.944 4.096
5.411 2.833 2.624
1.724 2.833 1.517
2.486 0.944 5.203
```



2.
First-principles (PBE-GGA) data for an optimized crystal structure of Ti8Co2Bi, as listed in the Alexandria database.

Crystal system: monoclinic
Formation energy (eV per atom): -0.114
Energy above the lowest structure with this stoichiometry (meV/atom): 69
Calculated total energy (eV per atom): -7.501

Cell and atoms, written as POSCAR:
```
Ti8Co2Bi
1.0
7.065 -2.574 0.000
7.065 2.574 0.000
-1.130 0.000 5.043
Ti Co Bi
8 2 1
Cartesian
0.860 0.000 2.880
4.526 1.295 4.638
3.531 0.000 1.955
8.474 1.295 0.405
4.526 -1.295 4.638
9.469 0.000 3.088
8.474 -1.295 0.405
12.139 0.000 2.163
2.384 0.000 4.510
10.615 0.000 0.533
6.500 0.000 2.521
```



3.
First-principles (PBE-GGA) data for an optimized crystal structure of Ti12CoBi6, as listed in the Alexandria database.

Crystal system: trigonal
Formation energy (eV per atom): 0.086
Calculated total energy (eV per atom): -6.500

Cell and atoms, written as POSCAR:
```
Ti12CoBi6
1.0
5.899 3.406 3.420
-5.899 3.406 3.420
0.000 -6.811 3.420
Ti Co Bi
12 1 6
Cartesian
-0.151 -1.823 1.361
-1.503 1.042 1.361
-1.599 -0.273 3.856
1.654 0.781 1.361
1.036 -1.248 3.856
0.563 1.522 3.856
-0.563 -1.522 6.403
-1.036 1.248 6.403
-1.654 -0.781 8.899
1.599 0.273 6.403
1.503 -1.042 8.899
0.151 1.823 8.899
0.000 0.000 0.000
-1.374 -3.082 3.835
-3.356 -0.351 6.425
-1.982 2.731 3.835
1.982 -2.731 6.425
3.356 0.351 3.835
1.374 3.082 6.425
```



4.
First-principles (PBE-GGA) data for an optimized crystal structure of Ti3CoBi, as listed in the Alexandria database.

Crystal system: cubic
Formation energy (eV per atom): -0.022
Energy above the lowest structure with this stoichiometry (meV/atom): 180
Calculated total energy (eV per atom): -6.956

Cell and atoms, written as POSCAR:
```
Ti3CoBi
1.0
4.560 0.000 0.000
0.000 4.560 0.000
0.000 0.000 4.560
Ti Co Bi
3 1 1
Cartesian
0.000 0.000 2.280
0.000 2.280 0.000
2.280 0.000 0.000
0.000 0.000 0.000
2.280 2.280 2.280
```



5.
First-principles (PBE-GGA) data for an optimized crystal structure of TiTlCoBi2, as listed in the Alexandria database.

Crystal system: tetragonal
Formation energy (eV per atom): 1.584
Calculated total energy (eV per atom): -3.442

Cell and atoms, written as POSCAR:
```
TiTlCoBi2
1.0
5.773 0.000 0.000
0.000 5.773 0.000
0.000 0.000 5.221
Ti Tl Co Bi
1 1 1 2
Cartesian
0.000 0.000 0.000
0.000 0.000 2.611
2.886 2.886 0.000
0.000 2.886 2.611
2.886 0.000 2.611
```



6.
First-principles (PBE-GGA) data for an optimized crystal structure of YTi2CoBi, as listed in the Alexandria database.

Crystal system: tetragonal
Formation energy (eV per atom): 1.701
Calculated total energy (eV per atom): -4.947

Cell and atoms, written as POSCAR:
```
YTi2CoBi
1.0
4.845 0.000 0.000
0.000 4.845 0.000
0.000 0.000 5.634
Y Ti Co Bi
1 2 1 1
Cartesian
0.000 0.000 0.000
0.000 2.423 0.000
2.423 0.000 0.000
2.423 2.423 2.817
0.000 0.000 2.817
```



7.
First-principles (PBE-GGA) data for an optimized crystal structure of TlCo2Bi, as listed in the Alexandria database.

Crystal system: tetragonal
Formation energy (eV per atom): 0.823
Energy above the lowest structure with this stoichiometry (meV/atom): 239
Calculated total energy (eV per atom): -4.292

Cell and atoms, written as POSCAR:
```
TlCo2Bi
1.0
7.044 0.000 0.000
0.000 7.044 0.000
0.000 0.000 6.269
Tl Co Bi
4 8 4
Cartesian
0.000 0.000 0.000
0.000 3.522 1.567
3.522 0.000 4.701
3.522 3.522 3.134
1.705 1.761 3.918
1.761 5.226 5.485
1.761 5.339 2.351
1.817 1.761 0.784
5.226 5.283 0.784
5.283 1.705 2.351
5.283 1.817 5.485
5.339 5.283 3.918
0.000 0.000 3.134
0.000 3.522 4.701
3.522 0.000 1.567
3.522 3.522 0.000
```



8.
First-principles (PBE-GGA) data for an optimized crystal structure of Tl3CoBi, as listed in the Alexandria database.

Crystal system: cubic
Formation energy (eV per atom): 1.138
Calculated total energy (eV per atom): -2.479

Cell and atoms, written as POSCAR:
```
Tl3CoBi
1.0
6.046 0.000 0.000
0.000 6.046 0.000
0.000 0.000 6.046
Tl Co Bi
3 1 1
Cartesian
0.000 0.000 3.023
0.000 3.023 0.000
3.023 0.000 0.000
3.023 3.023 3.023
0.000 0.000 0.000
```



9.
First-principles (PBE-GGA) data for an optimized crystal structure of TlCo3Bi, as listed in the Alexandria database.

Crystal system: cubic
Formation energy (eV per atom): 1.299
Energy above the lowest structure with this stoichiometry (meV/atom): 0
Calculated total energy (eV per atom): -4.214

Cell and atoms, written as POSCAR:
```
TlCo3Bi
1.0
4.889 0.000 0.000
0.000 4.889 0.000
0.000 0.000 4.889
Tl Co Bi
1 3 1
Cartesian
0.000 0.000 0.000
0.000 2.444 2.444
2.444 0.000 2.444
2.444 2.444 0.000
2.444 2.444 2.444
```



10.
First-principles (PBE-GGA) data for an optimized crystal structure of TlCo2Bi, as listed in the Alexandria database.

Crystal system: cubic
Formation energy (eV per atom): 0.584
Energy above the lowest structure with this stoichiometry (meV/atom): 0
Calculated total energy (eV per atom): -4.531

Cell and atoms, written as POSCAR:
```
TlCo2Bi
1.0
6.592 0.000 0.000
0.000 6.592 0.000
0.000 0.000 6.592
Tl Co Bi
4 8 4
Cartesian
0.000 0.000 0.000
0.000 3.296 3.296
3.296 0.000 3.296
3.296 3.296 0.000
1.648 1.648 1.648
1.648 1.648 4.944
1.648 4.944 1.648
1.648 4.944 4.944
4.944 1.648 1.648
4.944 1.648 4.944
4.944 4.944 1.648
4.944 4.944 4.944
0.000 0.000 3.296
0.000 3.296 0.000
3.296 0.000 0.000
3.296 3.296 3.296
```



11.
First-principles (PBE-GGA) data for an optimized crystal structure of Tl2VCoBi, as listed in the Alexandria database.

Crystal system: tetragonal
Formation energy (eV per atom): 1.389
Calculated total energy (eV per atom): -3.579

Cell and atoms, written as POSCAR:
```
Tl2VCoBi
1.0
5.991 0.000 0.000
0.000 5.991 0.000
0.000 0.000 4.822
Tl V Co Bi
2 1 1 1
Cartesian
0.000 2.995 0.000
2.995 0.000 0.000
0.000 0.000 2.411
2.995 2.995 2.411
2.995 2.995 0.000
```



12.
First-principles (PBE-GGA) data for an optimized crystal structure of Tm4Co2Bi, as listed in the Alexandria database.

Crystal system: orthorhombic
Formation energy (eV per atom): -0.142
Calculated total energy (eV per atom): -5.282

Cell and atoms, written as POSCAR:
```
Tm4Co2Bi
1.0
-4.503 4.510 4.529
4.503 -4.510 4.529
4.503 4.510 -4.529
Tm Co Bi
8 4 2
Cartesian
2.893 -2.268 2.497
6.113 -2.243 2.497
6.113 2.243 2.032
2.893 2.268 2.032
0.019 0.641 4.295
-0.019 5.151 0.234
-0.019 3.870 4.295
0.019 8.380 0.234
4.489 0.000 2.265
2.251 6.750 0.000
0.013 0.000 6.794
2.251 2.271 4.529
4.503 2.255 -1.127
0.000 2.255 1.127
```



- What is the calculated total energy in the tenth record?
  -4.531 eV per atom



- What is the formula in the eleventh record?
  Tl2VCoBi



- What is the formula in the fourth record?
  Ti3CoBi



- Which formula does entry 7 have?
  TlCo2Bi